No. 1
First-principles (PBE-GGA) data for a relaxed structure of NaTlAgF6, as listed in Alexandria via LeMat-Bulk.

Cell lengths 5.1317, 5.1317, 10.7944 Å; angles 90.00, 90.00, 90.00 degrees
With the nearest neighbours (Å) after each atom.
Fractional coordinates of all 18 atoms:
1 Na 0.0000 0.0000 0.0000  6 F 2.25-2.39
2 Na 0.5000 0.5000 0.5000  6 F 2.25-2.39
3 Tl 0.0000 0.0000 0.6649  6 F 2.17-2.26
4 Tl 0.5000 0.5000 0.1649  6 F 2.17-2.26
5 Ag 0.0000 0.0000 0.3334  6 F 2.17-2.32
6 Ag 0.5000 0.5000 0.8334  6 F 2.17-2.32
7 F 0.1903 0.1903 0.5058  1 Tl 2.20, 1 Na 2.25, 1 Ag 2.32
8 F 0.2014 0.2014 0.1695  1 Tl 2.17, 1 Ag 2.29, 1 Na 2.34
9 F 0.2014 0.2014 0.8250  1 Ag 2.17, 1 Tl 2.26, 1 Na 2.39
10 F 0.2986 0.7014 0.3250  1 Ag 2.17, 1 Tl 2.26, 1 Na 2.39
11 F 0.2986 0.7014 0.6695  1 Tl 2.17, 1 Ag 2.29, 1 Na 2.34
12 F 0.3097 0.6903 0.0058  1 Tl 2.20, 1 Na 2.25, 1 Ag 2.32
13 F 0.6903 0.3097 0.0058  1 Tl 2.20, 1 Na 2.25, 1 Ag 2.32
14 F 0.7014 0.2986 0.3250  1 Ag 2.17, 1 Tl 2.26, 1 Na 2.39
15 F 0.7014 0.2986 0.6695  1 Tl 2.17, 1 Ag 2.29, 1 Na 2.34
16 F 0.7986 0.7986 0.1695  1 Tl 2.17, 1 Ag 2.29, 1 Na 2.34
17 F 0.7986 0.7986 0.8250  1 Ag 2.17, 1 Tl 2.26, 1 Na 2.39
18 F 0.8097 0.8097 0.5058  1 Tl 2.20, 1 Na 2.25, 1 Ag 2.32

Results
E_form (uncorrected) in eV per atom: -1.801
Space-group type: No. 102
DFT total energy in eV per atom: -3.7746

No. 2
First-principles (PBE-GGA) data for a relaxed structure of NaTl2AgF4, as listed in Alexandria via LeMat-Bulk.

Cell lengths 7.4232, 7.4232, 7.4232 Å; angles 121.83, 118.21, 89.99 degrees
With the nearest neighbours (Å) after each atom.
Fractional coordinates of all 16 atoms:
1 Na 0.5000 0.0000 0.0000  6 F 2.42-2.45
2 Na 0.5000 0.5000 0.5000  6 F 2.42-2.45
3 Tl 0.0000 0.0000 0.0000  6 F 2.73-2.74
4 Tl 0.0000 0.0000 0.5000  6 F 2.82-2.84
5 Tl 0.0000 0.5000 0.0000  6 F 2.82-2.84
6 Tl 0.5000 0.0000 0.5000  6 F 2.73-2.74
7 Ag 0.0000 0.5000 0.5000  6 F 2.53-2.54
8 Ag 0.5000 0.5000 0.0000  6 F 2.53-2.54
9 F 0.2702 0.2922 0.5221  1 Na 2.42, 2 Ag 2.53
10 F 0.2702 0.7481 0.9779  1 Na 2.42, 2 Ag 2.53
11 F 0.2747 0.7410 0.5338  2 Na 2.45, 1 Ag 2.54, 1 Tl 2.73
12 F 0.2928 0.2590 0.0338  2 Na 2.45, 1 Ag 2.54, 1 Tl 2.73
13 F 0.7072 0.7410 0.9662  2 Na 2.45, 1 Ag 2.54, 1 Tl 2.73
14 F 0.7253 0.2590 0.4662  2 Na 2.45, 1 Ag 2.54, 1 Tl 2.73
15 F 0.7298 0.2519 0.0221  1 Na 2.42, 2 Ag 2.53
16 F 0.7298 0.7078 0.4779  1 Na 2.42, 2 Ag 2.53

Results
E_form (uncorrected) in eV per atom: -1.760
Space-group type: No. 74
DFT total energy in eV per atom: -3.8084

No. 3
First-principles (PBE-GGA) data for a relaxed structure of NaTl2AgF8, as listed in Alexandria via LeMat-Bulk.

Cell lengths 6.7307, 6.7307, 6.7307 Å; angles 130.86, 130.86, 72.04 degrees
With the nearest neighbours (Å) after each atom.
Fractional coordinates of all 12 atoms:
1 Na 0.0000 0.0000 0.0000  8 F 2.44
2 Tl 0.2500 0.7500 0.5000  8 F 2.33
3 Tl 0.5000 0.5000 0.0000  8 F 2.34
4 Ag 0.7500 0.2500 0.5000  8 F 2.50
5 F 0.1480 0.1224 0.5160  2 Tl 2.33-2.34, 1 Na 2.44, 1 Ag 2.50, 1 F 2.57
6 F 0.1480 0.6320 0.0256  2 Tl 2.33-2.34, 1 Na 2.44, 1 Ag 2.50, 1 F 2.57
7 F 0.3680 0.3936 0.5160  2 Tl 2.33-2.34, 1 Na 2.44, 1 Ag 2.50, 1 F 2.57
8 F 0.3680 0.8520 0.9744  2 Tl 2.33-2.34, 1 Na 2.44, 1 Ag 2.50, 1 F 2.57
9 F 0.6064 0.1224 0.9744  2 Tl 2.33-2.34, 1 Na 2.44, 1 Ag 2.50, 1 F 2.57
10 F 0.6064 0.6320 0.4840  2 Tl 2.33-2.34, 1 Na 2.44, 1 Ag 2.50, 1 F 2.57
11 F 0.8776 0.3936 0.0256  2 Tl 2.33-2.34, 1 Na 2.44, 1 Ag 2.50, 1 F 2.57
12 F 0.8776 0.8520 0.4840  2 Tl 2.33-2.34, 1 Na 2.44, 1 Ag 2.50, 1 F 2.57

Results
E_form (uncorrected) in eV per atom: -1.844
Space-group type: No. 119
DFT total energy in eV per atom: -3.8335

Which formula does entry 1 have? NaTlAgF6